Computed, not measured: an optimized crystal structure of GaCu3Pb at the PBE level of DFT.

Lattice parameters (Å, degrees): 4.600 4.600 4.600 90.00 90.00 90.00
Sites, in units of the cell vectors:
Pb  0.500  0.500  0.500
Cu  0.000  0.000  0.500
Cu  0.000  0.500  0.000
Cu  0.500  0.000  0.000
Ga  0.000  0.000  0.000

## Properties
The crystal system is cubic. The energy above the lowest structure with this stoichiometry comes out at 0.0 meV per atom. The formation energy comes out at 36.8 kJ per mole of atoms.


Computed, not measured: an optimized crystal structure of PrDy4ErSe8 at the PBE level of DFT.

Lattice parameters (Å, degrees): 8.470 8.470 8.457 59.95 59.95 60.00
Sites, in units of the cell vectors:
Se  0.237  0.237  0.741
Se  0.756  0.756  0.731
Se  0.239  0.239  0.284
Se  0.759  0.759  0.254
Se  0.785  0.237  0.741
Se  0.759  0.228  0.254
Se  0.228  0.759  0.254
Se  0.237  0.785  0.741
Dy  0.999  0.999  0.499
Dy  0.503  0.999  0.499
Dy  0.999  0.503  0.499
Dy  0.624  0.624  0.127
Er  0.999  0.999  0.002
Pr  0.375  0.375  0.874

## Properties
The crystal system is trigonal. The value obtained for the raw formation energy is -1.71 eV/atom.


Computed, not measured: an optimized crystal structure of ScGaNO2 at the PBE level of DFT.

Lattice parameters (Å, degrees): 3.793 3.793 3.827 90.00 90.00 90.00
Sites, in units of the cell vectors:
Sc  0.500  0.500  0.500
O  0.500  0.000  0.000
O  0.000  0.500  0.000
Ga  0.000  0.000  0.000
N  0.000  0.000  0.500

## Properties
The crystal system is tetragonal. The value obtained for the raw formation energy is -1.08 eV/atom.


Computed, not measured: an optimized crystal structure of TeMoPt at the PBE level of DFT.

Lattice parameters (Å, degrees): 3.189 3.189 6.444 90.00 90.00 120.00
Sites, in units of the cell vectors:
Pt  0.333  0.667  0.311
Mo  0.000  0.000  0.003
Te  0.667  0.333  0.685

## Properties
The crystal system is trigonal. The energy above the lowest structure with this stoichiometry comes out at 104.3 meV per atom. The value obtained for the raw formation energy is 0.26 eV/atom.


Q: Number 1 is which compound?
A: GaCu3Pb